Record 1
The following is a PBE calculation of crystalline HoLu2In3CuGe2 at its relaxed geometry, from OQMD.

Unit cell a=4.1593 b=12.7569 c=7.3461 alpha=90.00 beta=90.00 gamma=90.00
Closest atoms and distances in Å follow each position.
Space group Amm2 (No. 38)
One atom of each set of equivalent atoms:
Ho 0.0000 0.0000 0.0000 x2  1 Cu 2.99, 4 Ge 3.08, 6 In 3.31-3.32
Lu 0.0000 0.2014 0.3978 x4  1 Cu 2.94, 4 Ge 3.05
In 0.5000 0.0000 0.3525 x2  2 Cu 2.73, 2 Ge 2.84
In 0.5000 0.1216 0.7198 x4  2 Cu 2.76, 2 Ge 2.82-2.85
Cu 0.0000 0.0000 0.5929 x2  6 In 2.73-2.76, 2 Lu 2.94, 1 Ho 2.99
Ge 0.5000 0.1683 0.0995 x4  3 In 2.82-2.85, 4 Lu 3.05, 2 Ho 3.08

Computed properties:
For the calculated density, the calculation gives 9.10 g/cm³. The calculation puts the total energy at -4.36 eV/atom.

Record 2
The following is a PBE calculation of crystalline Dy2InHg at its relaxed geometry, from OQMD.

Unit cell a=3.7222 b=3.7222 c=7.5177 alpha=90.00 beta=90.00 gamma=90.00
Closest atoms and distances in Å follow each position.
Space group P4/mmm (No. 123)
One atom of each set of equivalent atoms:
Dy 0.0000 0.0000 0.2446 x2  4 Hg 3.21, 4 In 3.26
In 0.5000 0.5000 0.5000 x1  8 Dy 3.26
Hg 0.5000 0.5000 0.0000 x1  8 Dy 3.21

Computed properties:
For the calculated density, the calculation gives 10.21 g/cm³. The calculation puts the total energy at -3.54 eV/atom.